First-principles (GGA-PBE) data for BaPa2GeN5 after structural relaxation, as listed in Alexandria.

POSCAR file:
```
BaPa2GeN5
1.0
-5.369 -0.274 4.092
-1.950 -5.760 -2.945
6.731 0.021 3.254
Ba Pa Ge N
2 4 2 10
Cartesian
1.535 -1.498 1.914
-2.124 -4.516 2.488
-1.615 -1.854 -0.156
-4.054 -1.266 2.261
-3.265 -4.768 -1.113
-5.704 -4.181 1.304
0.560 -4.378 0.442
-1.149 -1.635 3.960
-4.495 -3.102 3.478
0.600 -1.485 4.693
3.906 -2.912 0.924
3.710 -0.091 3.289
0.796 -4.306 2.328
-4.298 -5.922 1.113
-1.385 -1.708 2.074
-1.188 -4.528 -0.291
-3.660 -3.017 0.574
0.000 0.000 0.000
```

Uncorrected energy   -8.510 eV/atom
Fermi-level density of states   0.39 states/eV per atom
Crystal system   tetragonal